Material: Tb7Pr2Y
Method: DFT, PBE
State: relaxed

As for the calculated formation energy: 0.02 eV per atom. The total DFT energy (no corrections) comes out at -4.8256 eV per atom.

It has space group P-1 (No. 2), with a = 6.221 Å, b = 6.221 Å, c = 9.508 Å, α = 70.95°, β = 70.93° and γ = 80.45°. The inequivalent atoms are Tb at (0.000, 0.000, 0.000), Tb at (0.099, 0.501, 0.300), Tb at (0.199, 0.000, 0.599), Tb at (0.298, 0.501, 0.900), Pr at (0.399, 0.001, 0.201) and Y at (0.500, 0.500, 0.500).

---

Material: Tb7Pr3Y
Method: DFT, PBE
State: relaxed

As for the calculated formation energy: 0.17 eV per atom. The total DFT energy (no corrections) comes out at -4.6670 eV per atom.

It has space group P3m1 (No. 156), with a = 7.1304 Å, b = 7.1304 Å, c = 8.7608 Å, α = 90.00°, β = 90.00° and γ = 120.00°. The inequivalent atoms are Tb at (0.0000, 0.0000, 0.0000), Tb at (0.1658, 0.3316, 0.6784), Tb at (0.5006, 0.0012, 0.0028), Pr at (0.3329, 0.1665, 0.3400) and Y at (0.6667, 0.3333, 0.6805).

---

Material: Tb12PrY7
Method: DFT, PBE
State: relaxed

As for the calculated formation energy: 0.10 eV per atom. The total DFT energy (no corrections) comes out at -5.1748 eV per atom.

It has space group R-3m (No. 166, hexagonal axes), with a = 13.2830 Å, b = 13.2830 Å, c = 12.8468 Å, α = 90.00°, β = 90.00° and γ = 120.00°. The inequivalent atoms are Tb at (0.0000, 0.2614, 0.0000), Tb at (0.0904, 0.1809, 0.7695), Pr at (0.0000, 0.0000, 0.5000), Y at (0.0000, 0.0000, 0.0000) and Y at (0.0363, 0.5182, 0.1217).

---

The highest total DFT energy (no corrections) belongs to which entry?
Tb7Pr3Y

---

Among the records above, which one has the lowest total DFT energy (no corrections)?
Tb12PrY7